No. 1
This record from Alexandria describes ErZrHgRu after structural relaxation. The functional is GGA-PBE.

abc: 4.898 4.898 4.898
angles: 60.00 60.00 60.00
Atoms (fractional coordinates):
Er  0.000  0.000  0.000
Ru  0.250  0.250  0.250
Zr  0.500  0.500  0.500
Hg  0.750  0.750  0.750

The density of states at the Fermi level is 0.801 states/eV/atom. The calculation puts the total energy at -0.21903 hartree per atom. The value obtained for the formation energy from the elements is -0.288 eV/atom. The total magnetic moment is 0.00 μB per formula unit.



No. 2
This record from Alexandria describes Rb3LiCd2H8 after structural relaxation. The functional is GGA-PBE.

abc: 5.997 5.997 7.949
angles: 90.00 90.00 120.00
Atoms (fractional coordinates):
Cd  0.667  0.333  0.760
Rb  0.667  0.333  0.329
H  0.833  0.665  0.664
Rb  0.333  0.667  0.671
H  0.333  0.667  0.015
Rb  0.000  0.000  0.000
H  0.665  0.833  0.336
H  0.667  0.333  0.985
H  0.335  0.167  0.664
H  0.833  0.167  0.664
H  0.167  0.833  0.336
H  0.167  0.335  0.336
Li  0.000  0.000  0.500
Cd  0.333  0.667  0.240

The density of states at the Fermi level is 0.000 states/eV/atom. The calculation puts the total energy at -0.09354 hartree per atom. The total magnetic moment is 0.00 μB per formula unit.



No. 3
This record from Alexandria describes TiSeN2F after structural relaxation. The functional is GGA-PBE.

abc: 3.797 3.797 5.366
angles: 90.00 90.00 90.00
Atoms (fractional coordinates):
N  0.500  0.000  0.000
Ti  0.000  0.000  0.000
Se  0.000  0.000  0.500
F  0.500  0.500  0.500
N  0.000  0.500  0.000

The density of states at the Fermi level is 0.811 states/eV/atom. The calculation puts the total energy at -0.20747 hartree per atom. The calculation puts the uncorrected formation energy at 1.67 eV/f.u. The total magnetic moment is 0.02 μB per formula unit. As for the polymorph energy (0 for the lowest one): 516 meV per atom.



No. 4
This record from Alexandria describes ZrTi3Te3 after structural relaxation. The functional is GGA-PBE.

abc: 7.290 7.290 8.141
angles: 63.40 63.40 60.00
Atoms (fractional coordinates):
Te  0.230  0.656  0.224
Te  0.890  0.230  0.224
Ti  0.774  0.066  0.620
Ti  0.066  0.540  0.620
Te  0.344  0.110  0.776
Te  0.656  0.890  0.224
Ti  0.226  0.934  0.380
Te  0.110  0.770  0.776
Ti  0.460  0.226  0.380
Ti  0.934  0.460  0.380
Ti  0.540  0.774  0.620
Zr  0.673  0.673  0.982
Zr  0.327  0.327  0.018
Te  0.770  0.344  0.776

The density of states at the Fermi level is 0.634 states/eV/atom. The calculation puts the total energy at -0.23626 hartree per atom. The calculation puts the uncorrected formation energy at -3.35 eV/f.u. The total magnetic moment is 0.00 μB per formula unit.



No. 5
This record from Alexandria describes In2Cl2F after structural relaxation. The functional is GGA-PBE.

abc: 5.460 5.460 6.144
angles: 63.62 63.62 90.00
Atoms (fractional coordinates):
In  0.250  0.750  0.500
Cl  0.330  0.330  0.341
In  0.750  0.250  0.500
F  0.000  0.000  0.000
Cl  0.670  0.670  0.659

The density of states at the Fermi level is 0.419 states/eV/atom. The calculation puts the total energy at -0.10872 hartree per atom. The calculation puts the uncorrected formation energy at -3.75 eV/f.u. The total magnetic moment is 0.00 μB per formula unit. As for the polymorph energy (0 for the lowest one): 325 meV per atom.



No. 6
This record from Alexandria describes Pa3Ta after structural relaxation. The functional is GGA-PBE.

abc: 4.419 4.419 5.745
angles: 112.62 112.62 90.00
Atoms (fractional coordinates):
Pa  0.750  0.250  0.500
Pa  0.250  0.750  0.500
Pa  0.500  0.500  0.000
Ta  0.000  0.000  0.000

The density of states at the Fermi level is 1.593 states/eV/atom. The calculation puts the total energy at -0.36433 hartree per atom. The value obtained for the formation energy from the elements is 0.171 eV/atom. The total magnetic moment is 0.00 μB per formula unit. As for the polymorph energy (0 for the lowest one): 29 meV per atom.